First-principles (GGA+U) data for LiCrRhF6 after structural relaxation, as listed in Alexandria via LeMat-Bulk.

```
LiCrRhF6
1.0
5.3014 0.0000 0.0000
-2.6507 4.5912 0.0000
0.0000 0.0000 9.0172
Li Cr Rh F
2 2 2 12
Direct
0.0000 0.0000 0.0000
0.0000 0.0000 0.5000
0.6667 0.3333 0.2500
0.3333 0.6667 0.7500
0.3333 0.6667 0.2500
0.6667 0.3333 0.7500
0.6753 0.6460 0.1294
0.9708 0.3247 0.1294
0.3247 0.9708 0.6294
0.0292 0.6753 0.8706
0.3540 0.3247 0.3706
0.9708 0.6460 0.3706
0.6460 0.9708 0.8706
0.6753 0.0292 0.3706
0.0292 0.3540 0.6294
0.3540 0.0292 0.1294
0.6460 0.6753 0.6294
0.3247 0.3540 0.8706
```

Computed properties:
Calculated volume ... 109.7 Å³/f.u.
Theoretical density ... 4.17 g cm⁻³
Magnetic moment ... 8.0 μB per cell
Raw total energy ... -94.9 eV per cell

***

First-principles (GGA+U) data for LiScCrF2 after structural relaxation, as listed in Alexandria via LeMat-Bulk.

```
LiScCrF2
1.0
-2.3149 1.2122 2.8713
0.3153 -3.4672 1.7180
4.3262 1.7546 2.7471
Sc Cr Li F
1 1 1 2
Direct
0.0000 0.0000 0.5000
0.5000 0.5000 0.5000
0.0000 0.0000 0.0000
0.0000 0.5000 0.0000
0.5000 0.0000 0.0000
```

Computed properties:
Calculated volume ... 81.6 Å³/f.u.
Theoretical density ... 2.89 g cm⁻³
Magnetic moment ... 4.3 μB per cell
Raw total energy ... -24.0 eV per cell

***

First-principles (GGA+U) data for Li2SmCrF8 after structural relaxation, as listed in Alexandria via LeMat-Bulk.

```
Li2SmCrF8
1.0
-1.4281 3.9181 2.1825
-1.5112 -2.4525 3.8374
6.0091 0.6661 3.1857
Li Sm Cr F
2 1 1 8
Direct
0.5247 0.5256 0.7906
0.4753 0.4744 0.2094
0.0000 0.0000 0.5000
0.0000 0.0000 0.0000
0.1847 0.7917 0.2205
0.7103 0.7234 0.0064
0.8045 0.1960 0.2155
0.8153 0.2083 0.7795
0.2897 0.2766 0.9936
0.1955 0.8040 0.7845
0.6674 0.6959 0.5388
0.3326 0.3041 0.4612
```

Computed properties:
Calculated volume ... 154.0 Å³/f.u.
Theoretical density ... 3.97 g cm⁻³
Magnetic moment ... 3.0 μB per cell
Raw total energy ... -69.5 eV per cell

***

First-principles (GGA+U) data for Li2CrSnF6 after structural relaxation, as listed in Alexandria via LeMat-Bulk.

```
Li2CrSnF6
1.0
5.5104 0.1707 -0.2020
2.9068 4.9865 -0.2858
2.6319 1.5411 4.7884
Li Cr Sn F
2 1 1 6
Direct
0.5261 0.5518 0.4061
0.0770 0.0313 0.8947
0.3271 0.3385 0.0506
0.8133 0.8126 0.5753
0.5682 0.2542 0.2884
0.2092 0.8580 0.2276
0.9134 0.5601 0.2766
0.3552 0.7484 0.6958
0.7276 0.1525 0.8017
0.1446 0.3542 0.7985
```

Computed properties:
Calculated volume ... 133.2 Å³/f.u.
Theoretical density ... 3.72 g cm⁻³
Magnetic moment ... 4.0 μB per cell
Raw total energy ... -52.5 eV per cell

***

First-principles (GGA+U) data for LiCrSnF6 after structural relaxation, as listed in Alexandria via LeMat-Bulk.

```
LiCrSnF6
1.0
5.2816 -0.0014 0.0014
2.6395 4.5729 0.0009
-0.0012 0.0017 5.1858
Li Cr Sn F
1 1 1 6
Direct
0.3332 0.3333 0.5000
0.6666 0.6667 0.5000
0.0000 0.0000 0.0000
0.9833 0.3712 0.2894
0.3712 0.9834 0.7106
0.6454 0.3710 0.7107
0.9834 0.6455 0.7107
0.3711 0.6454 0.2894
0.6454 0.9836 0.2892
```

Computed properties:
Calculated volume ... 125.3 Å³/f.u.
Theoretical density ... 3.87 g cm⁻³
Magnetic moment ... 3.0 μB per cell
Raw total energy ... -48.6 eV per cell

***

First-principles (GGA+U) data for SrLiCrF6 after structural relaxation, as listed in Alexandria via LeMat-Bulk.

```
SrLiCrF6
1.0
-2.0324 -4.8410 0.4453
3.3885 1.0876 -3.8858
8.0122 -2.7930 6.2051
Sr Li Cr F
2 2 2 12
Direct
0.0000 0.0000 0.5000
0.0000 0.0000 0.0000
0.3333 0.6667 0.7500
0.6667 0.3333 0.2500
0.6667 0.3333 0.7500
0.3333 0.6667 0.2500
0.6439 0.0172 0.6452
0.3561 0.9828 0.3548
0.9828 0.6267 0.6452
0.6439 0.6267 0.8548
0.0172 0.3733 0.3548
0.3561 0.3733 0.1452
0.3733 0.3561 0.6452
0.9828 0.3561 0.8548
0.6267 0.6439 0.3548
0.0172 0.6439 0.1452
0.3733 0.0172 0.8548
0.6267 0.9828 0.1452
```

Computed properties:
Calculated volume ... 126.4 Å³/f.u.
Theoretical density ... 3.42 g cm⁻³
Magnetic moment ... 6.0 μB per cell
Raw total energy ... -102.9 eV per cell

***

First-principles (GGA+U) data for SrLiCrF6 after structural relaxation, as listed in Alexandria via LeMat-Bulk.

```
SrLiCrF6
1.0
-1.7948 -2.5726 4.2155
4.9159 -0.3990 1.8495
-2.9650 4.1621 1.2777
Sr Li Cr F
1 1 1 6
Direct
0.0000 0.3333 0.6667
0.5000 0.0000 0.0000
0.5000 0.6667 0.3333
0.7096 0.6897 0.6498
0.7096 0.3502 0.0399
0.7096 0.9601 0.3103
0.2904 0.3502 0.3103
0.2904 0.6897 0.0399
0.2904 0.9601 0.6498
```

Computed properties:
Calculated volume ... 126.3 Å³/f.u.
Theoretical density ... 3.43 g cm⁻³
Magnetic moment ... 3.0 μB per cell
Raw total energy ... -51.4 eV per cell

***

First-principles (GGA+U) data for Li2TbCrF8 after structural relaxation, as listed in Alexandria via LeMat-Bulk.

```
Li2TbCrF8
1.0
-2.2075 -0.9689 -4.1046
0.4295 -4.6835 0.7807
-5.8239 -0.0118 3.1348
Li Tb Cr F
2 1 1 8
Direct
0.5000 0.5000 0.7677
0.5000 0.5000 0.2323
0.0000 0.0000 0.5000
0.0000 0.0000 0.0000
0.1943 0.8026 0.2238
0.7143 0.7175 0.0000
0.8057 0.1974 0.2238
0.8057 0.1974 0.7762
0.2857 0.2825 0.0000
0.1943 0.8026 0.7762
0.6823 0.6867 0.5000
0.3177 0.3133 0.5000
```

Computed properties:
Calculated volume ... 150.1 Å³/f.u.
Theoretical density ... 4.17 g cm⁻³
Magnetic moment ... 3.0 μB per cell
Raw total energy ... -69.7 eV per cell

***

First-principles (GGA+U) data for LiCrTc2F after structural relaxation, as listed in Alexandria via LeMat-Bulk.

```
LiCrTc2F
1.0
-4.3198 -0.0327 -0.5518
-0.6831 -0.0290 5.3495
-0.0354 4.3548 0.0191
Cr Li Tc F
1 1 2 1
Direct
0.0000 0.0000 0.0000
0.0000 0.5000 0.0000
0.0000 0.0000 0.5000
0.5000 0.0000 0.0000
0.5000 0.5000 0.5000
```

Computed properties:
Calculated volume ... 102.3 Å³/f.u.
Theoretical density ... 4.45 g cm⁻³
Magnetic moment ... 3.0 μB per cell
Raw total energy ... -24.4 eV per cell

***

First-principles (GGA+U) data for LiTlCrF6 after structural relaxation, as listed in Alexandria via LeMat-Bulk.

```
LiTlCrF6
1.0
-3.0553 4.0043 2.7801
-1.0515 -5.5795 0.9281
5.7691 -0.0263 6.3781
Li Tl Cr F
2 2 2 12
Direct
0.0000 0.0000 0.0000
0.0000 0.0000 0.5000
0.6667 0.3333 0.2500
0.3333 0.6667 0.7500
0.3333 0.6667 0.2500
0.6667 0.3333 0.7500
0.6268 0.6918 0.1236
0.0650 0.3732 0.1236
0.3732 0.0650 0.6236
0.9350 0.6268 0.8764
0.3082 0.3732 0.3764
0.0650 0.6918 0.3764
0.6918 0.0650 0.8764
0.6268 0.9350 0.3764
0.9350 0.3082 0.6236
0.3082 0.9350 0.1236
0.6918 0.6268 0.6236
0.3732 0.3082 0.8764
```

Computed properties:
Calculated volume ... 123.3 Å³/f.u.
Theoretical density ... 5.08 g cm⁻³
Magnetic moment ... 4.4 μB per cell
Raw total energy ... -88.8 eV per cell

***

First-principles (GGA+U) data for LiTl3Cr2F9 after structural relaxation, as listed in Alexandria via LeMat-Bulk.

```
LiTl3Cr2F9
1.0
5.9404 0.0000 0.0000
-2.9702 5.1446 0.0000
0.0000 0.0000 7.2938
Li Tl Cr F
1 3 2 9
Direct
0.0000 0.0000 0.5000
0.3333 0.6667 0.6455
0.0000 0.0000 0.0000
0.6667 0.3333 0.3545
0.3333 0.6667 0.1643
0.6667 0.3333 0.8357
0.8277 0.1723 0.6776
0.8277 0.6553 0.6776
0.3447 0.1723 0.6776
0.6553 0.8277 0.3224
0.1723 0.3447 0.3224
0.1723 0.8277 0.3224
0.5000 0.0000 0.0000
0.0000 0.5000 0.0000
0.5000 0.5000 0.0000
```

Computed properties:
Calculated volume ... 222.9 Å³/f.u.
Theoretical density ... 6.67 g cm⁻³
Magnetic moment ... 7.0 μB per cell
Raw total energy ... -75.9 eV per cell

***

First-principles (GGA+U) data for Li2Tl3CrF9 after structural relaxation, as listed in Alexandria via LeMat-Bulk.

```
Li2Tl3CrF9
1.0
-2.5564 -5.2002 0.3683
3.5241 1.8097 4.2449
-5.5895 2.9863 3.3672
Li Tl Cr F
2 3 1 9
Direct
0.3333 0.6667 0.1677
0.6667 0.3333 0.8323
0.3333 0.6667 0.7205
0.0000 0.0000 0.0000
0.6667 0.3333 0.2795
0.0000 0.0000 0.5000
0.8415 0.1585 0.6561
0.8415 0.6831 0.6561
0.3169 0.1585 0.6561
0.6831 0.8415 0.3439
0.1585 0.3169 0.3439
0.1585 0.8415 0.3439
0.5000 0.0000 0.0000
0.0000 0.5000 0.0000
0.5000 0.5000 0.0000
```

Computed properties:
Calculated volume ... 209.5 Å³/f.u.
Theoretical density ... 6.74 g cm⁻³
Magnetic moment ... 2.1 μB per cell
Raw total energy ... -70.1 eV per cell